This record from the Alexandria database describes a relaxed structure of RbAlSi3O8. The functional is PBE.

a b c (Å): 7.3512 7.8042 8.0803
angles (deg): 111.20 104.58 103.81
Closest atoms and distances in Å follow each position.
Fractional coordinates of all 26 atoms:
Si 0.3534 0.8388 0.6058  4 O 1.61-1.66
O 0.7254 0.6380 0.2588  2 Si 1.65
O 0.2833 0.6620 0.6705  2 Si 1.64-1.66
O 0.2436 0.9958 0.6844  2 Si 1.63-1.65
Si 0.6577 0.3954 0.1519  4 O 1.60-1.65
O 0.2580 0.7275 0.3741  1 Si 1.62, 1 Al 1.76
Si 0.7666 0.7995 0.1729  4 O 1.61-1.65
Si 0.3423 0.6046 0.8481  4 O 1.60-1.65
Si 0.2334 0.2005 0.8271  4 O 1.61-1.65
O 0.4107 0.2951 0.0414  2 Si 1.64-1.65
O 0.9819 0.8487 0.1502  1 Si 1.61, 1 Al 1.76
Rb 0.1424 0.2986 0.2891  10 O 3.00-3.35
O 0.7767 0.3310 0.0133  1 Si 1.60, 1 Al 1.75
Si 0.6466 0.1612 0.3942  4 O 1.61-1.66
O 0.0181 0.1513 0.8498  1 Si 1.61, 1 Al 1.76
O 0.7564 0.0042 0.3156  2 Si 1.63-1.65
O 0.7420 0.2725 0.6259  1 Si 1.62, 1 Al 1.76
Al 0.2177 0.8209 0.2056  4 O 1.75-1.76
Al 0.7823 0.1791 0.7944  4 O 1.75-1.76
O 0.2746 0.3620 0.7412  2 Si 1.65
O 0.7167 0.3380 0.3295  2 Si 1.64-1.66
O 0.4036 0.0578 0.3030  1 Si 1.61, 1 Al 1.76
O 0.2233 0.6690 0.9867  1 Si 1.60, 1 Al 1.75
O 0.5964 0.9422 0.6970  1 Si 1.61, 1 Al 1.76
O 0.5893 0.7049 0.9586  2 Si 1.64-1.65
Rb 0.8576 0.7014 0.7109  10 O 3.00-3.35

## Properties
As for the density of states at the Fermi level: 0.0 states/eV/cell. As for the crystal system: triclinic. The calculation puts the density at 2.77 g/cm³. For the formation energy (no corrections), the calculation gives -2.82 eV per atom. Its energy above the lowest structure with this stoichiometry is 0.0 kJ/mol of atoms. The symmetry is No. 2.